Compound: Cs3Ag2Br7
Source: Alexandria via LeMat-Bulk
Functional: PBE-GGA
Structure: optimized geometry

Cell: 14.3218 14.3218 5.4433 Å, 90.00 90.00 157.44°
With the nearest neighbours (Å) after each atom.
Positions (direct):
Cs: 0.0000 0.0000 0.0000  12 Br 3.79-3.91
Cs: 0.1822 0.8178 0.0000  8 Br 3.69-3.92
Cs: 0.8178 0.1822 0.0000  8 Br 3.69-3.92
Ag: 0.4026 0.5974 0.5000  6 Br 2.72-2.80
Ag: 0.5974 0.4026 0.5000  6 Br 2.72-2.80
Br: 0.0937 0.9063 0.5000  2 Ag 2.80
Br: 0.3058 0.6942 0.5000  1 Ag 2.72
Br: 0.4059 0.5941 0.0000  2 Ag 2.72
Br: 0.5000 0.5000 0.5000  2 Ag 2.74
Br: 0.5941 0.4059 0.0000  2 Ag 2.72
Br: 0.6942 0.3058 0.5000  1 Ag 2.72
Br: 0.9063 0.0937 0.5000  2 Ag 2.80

Output
* E: -2.70 eV/atom


Compound: La3TiTc
Source: Alexandria via LeMat-Bulk
Functional: PBE-GGA
Structure: optimized geometry

Cell: 5.4770 5.4770 5.4770 Å, 90.00 90.00 90.00°
With the nearest neighbours (Å) after each atom.
Positions (direct):
La: 0.0000 0.0000 0.5000  2 Tc 2.74
La: 0.0000 0.5000 0.0000  2 Tc 2.74
La: 0.5000 0.0000 0.0000  2 Tc 2.74
Ti: 0.5000 0.5000 0.5000  12 La 3.87
Tc: 0.0000 0.0000 0.0000  6 La 2.74

Output
* E: -6.22 eV/atom
* energy relative to the elements: 0.39 eV/atom


Compound: CaSeS2
Source: Alexandria via LeMat-Bulk
Functional: PBE-GGA
Structure: optimized geometry

Cell: 3.9654 3.9654 23.7985 Å, 90.00 90.00 120.00°
With the nearest neighbours (Å) after each atom.
Positions (direct):
Ca: 0.0000 0.0000 0.0000  6 S 2.81
Ca: 0.3333 0.6667 0.6667  6 S 2.81
Ca: 0.6667 0.3333 0.3333  6 S 2.81
Se: 0.0000 0.0000 0.5000  2 S 2.35
Se: 0.3333 0.6667 0.1667  2 S 2.35
Se: 0.6667 0.3333 0.8333  2 S 2.35
S: 0.0000 0.0000 0.4014  1 Se 2.35
S: 0.0000 0.0000 0.5986  1 Se 2.35
S: 0.3333 0.6667 0.0681  1 Se 2.35
S: 0.3333 0.6667 0.2652  1 Se 2.35
S: 0.6667 0.3333 0.7348  1 Se 2.35
S: 0.6667 0.3333 0.9319  1 Se 2.35

Output
* E: -4.08 eV/atom


Compound: Nd7BeCl12
Source: Alexandria via LeMat-Bulk
Functional: PBE-GGA
Structure: optimized geometry

Cell: 9.1046 9.1046 9.1046 Å, 107.91 107.91 107.91°
With the nearest neighbours (Å) after each atom.
Positions (direct):
Nd: 0.0000 0.0000 0.0000  6 Cl 2.82
Nd: 0.1695 0.4652 0.3809  1 Be 2.74, 5 Cl 2.84-2.99
Nd: 0.3809 0.1695 0.4652  1 Be 2.74, 5 Cl 2.84-2.99
Nd: 0.4652 0.3809 0.1695  1 Be 2.74, 5 Cl 2.84-2.99
Nd: 0.5348 0.6191 0.8305  1 Be 2.74, 5 Cl 2.84-2.99
Nd: 0.6191 0.8305 0.5348  1 Be 2.74, 5 Cl 2.84-2.99
Nd: 0.8305 0.5348 0.6191  1 Be 2.74, 5 Cl 2.84-2.99
Be: 0.5000 0.5000 0.5000  6 Nd 2.74
Cl: 0.0253 0.1126 0.3357  3 Nd 2.82-2.91
Cl: 0.1126 0.3357 0.0253  3 Nd 2.82-2.91
Cl: 0.1916 0.5785 0.7182  3 Nd 2.84-2.99
Cl: 0.2818 0.8084 0.4215  3 Nd 2.84-2.99
Cl: 0.3357 0.0253 0.1126  3 Nd 2.82-2.91
Cl: 0.4215 0.2818 0.8084  3 Nd 2.84-2.99
Cl: 0.5785 0.7182 0.1916  3 Nd 2.84-2.99
Cl: 0.6643 0.9747 0.8874  3 Nd 2.82-2.91
Cl: 0.7182 0.1916 0.5785  3 Nd 2.84-2.99
Cl: 0.8084 0.4215 0.2818  3 Nd 2.84-2.99
Cl: 0.8874 0.6643 0.9747  3 Nd 2.82-2.91
Cl: 0.9747 0.8874 0.6643  3 Nd 2.82-2.91

Output
* E: -4.79 eV/atom


Compound: Ho4InTe2As
Source: Alexandria via LeMat-Bulk
Functional: PBE-GGA
Structure: optimized geometry

Cell: 7.5075 4.1950 7.5122 Å, 90.00 108.46 90.00°
With the nearest neighbours (Å) after each atom.
Positions (direct):
Ho: 0.2345 0.0000 0.2234  2 As 2.91, 1 In 2.98, 3 Te 3.12-3.17
Ho: 0.2463 0.5000 0.7633  1 As 2.94, 2 In 3.01, 3 Te 3.07-3.15
Ho: 0.7537 0.5000 0.2367  1 As 2.94, 2 In 3.01, 3 Te 3.07-3.15
Ho: 0.7655 0.0000 0.7766  2 As 2.91, 1 In 2.98, 3 Te 3.12-3.17
In: 0.5000 0.0000 0.0000  6 Ho 2.98-3.01
Te: 0.0000 0.0000 0.5000  6 Ho 3.07-3.12
Te: 0.5000 0.5000 0.5000  6 Ho 3.15-3.17
As: 0.0000 0.5000 0.0000  6 Ho 2.91-2.94

Output
* E: -5.11 eV/atom


Compound: Tb3DyPt
Source: Alexandria via LeMat-Bulk
Functional: PBE-GGA
Structure: optimized geometry

Cell: 6.4209 5.1536 8.7142 Å, 90.00 96.72 90.00°
With the nearest neighbours (Å) after each atom.
Positions (direct):
Tb: 0.1745 0.2500 0.0214  1 Pt 2.76
Tb: 0.2147 0.2500 0.4414  1 Pt 2.75
Tb: 0.2761 0.7500 0.7583  2 Pt 3.03, 2 Dy 3.35
Tb: 0.7239 0.2500 0.2417  2 Pt 3.03, 2 Dy 3.35
Tb: 0.7853 0.7500 0.5586  1 Pt 2.75
Tb: 0.8255 0.7500 0.9786  1 Pt 2.76
Dy: 0.3894 0.7500 0.2119  1 Pt 2.85
Dy: 0.6106 0.2500 0.7881  1 Pt 2.85
Pt: 0.0297 0.2500 0.7105  4 Tb 2.75-3.03, 1 Dy 2.85
Pt: 0.9703 0.7500 0.2895  4 Tb 2.75-3.03, 1 Dy 2.85

Output
* E: -5.37 eV/atom
* energy relative to the elements: -0.46 eV/atom


Compound: Tb2MgIr
Source: Alexandria via LeMat-Bulk
Functional: PBE-GGA
Structure: optimized geometry

Cell: 3.9808 3.9808 29.8457 Å, 90.00 90.00 120.00°
With the nearest neighbours (Å) after each atom.
Positions (direct):
Tb: 0.0000 0.0000 0.1166  3 Ir 2.74
Tb: 0.0000 0.0000 0.8834  3 Ir 2.74
Tb: 0.3333 0.6667 0.5501  3 Ir 2.74
Tb: 0.3333 0.6667 0.7833  3 Ir 2.74
Tb: 0.6667 0.3333 0.2167  3 Ir 2.74
Tb: 0.6667 0.3333 0.4499  3 Ir 2.74
Mg: 0.0000 0.0000 0.0000  2 Tb 3.48
Mg: 0.3333 0.6667 0.6667  2 Tb 3.48
Mg: 0.6667 0.3333 0.3333  2 Tb 3.48
Ir: 0.0000 0.0000 0.5000  6 Tb 2.74
Ir: 0.3333 0.6667 0.1667  6 Tb 2.74
Ir: 0.6667 0.3333 0.8333  6 Tb 2.74

Output
* E: -5.13 eV/atom
* energy relative to the elements: -0.20 eV/atom


Compound: Mg2ZnTc
Source: Alexandria via LeMat-Bulk
Functional: PBE-GGA
Structure: optimized geometry

Cell: 3.1707 4.5342 9.1009 Å, 90.00 90.00 90.00°
With the nearest neighbours (Å) after each atom.
Positions (direct):
Mg: 0.0000 0.0000 0.2463  2 Zn 2.75, 4 Mg 2.77, 2 Tc 2.80
Mg: 0.0000 0.0000 0.7537  2 Zn 2.75, 4 Mg 2.77, 2 Tc 2.80
Mg: 0.5000 0.5000 0.2537  2 Zn 2.75, 4 Mg 2.77, 2 Tc 2.80
Mg: 0.5000 0.5000 0.7463  2 Zn 2.75, 4 Mg 2.77, 2 Tc 2.80
Zn: 0.0000 0.5000 0.5000  4 Mg 2.75, 4 Tc 2.77
Zn: 0.5000 0.0000 0.0000  4 Mg 2.75, 4 Tc 2.77
Tc: 0.0000 0.5000 0.0000  4 Zn 2.77, 4 Mg 2.80
Tc: 0.5000 0.0000 0.5000  4 Zn 2.77, 4 Mg 2.80

Output
* E: -3.55 eV/atom
* energy relative to the elements: 0.16 eV/atom


Compound: Tb7Co2Ag2
Source: Alexandria via LeMat-Bulk
Functional: PBE-GGA
Structure: optimized geometry

Cell: 9.4397 9.4397 9.4397 Å, 157.57 66.16 118.67°
With the nearest neighbours (Å) after each atom.
Positions (direct):
Tb: 0.0000 0.0000 0.0000  3 Ag 3.11-3.19
Tb: 0.0710 0.3850 0.6859  3 Co 2.82-3.09
Tb: 0.0847 0.7314 0.3533  2 Co 2.77
Tb: 0.3780 0.7314 0.6467  2 Co 2.77
Tb: 0.4493 0.5777 0.8716  2 Co 2.74
Tb: 0.6991 0.3850 0.3141  3 Co 2.82-3.09
Tb: 0.7061 0.5777 0.1284  2 Co 2.74
Co: 0.3297 0.0862 0.2435  6 Tb 2.74-2.82
Co: 0.8428 0.0862 0.7565  6 Tb 2.74-2.82
Ag: 0.3310 0.3310 0.0000  7 Tb 3.11-3.19
Ag: 0.7398 0.2398 0.5000  8 Tb 3.11-3.26

Output
* E: -4.93 eV/atom
* energy relative to the elements: -0.17 eV/atom


Compound: Ca2AlAg2
Source: Alexandria via LeMat-Bulk
Functional: PBE-GGA
Structure: optimized geometry

Cell: 8.5536 8.5536 3.5705 Å, 90.00 90.00 90.00°
With the nearest neighbours (Å) after each atom.
Positions (direct):
Ca: 0.1688 0.3312 0.0000  6 Ag 3.08-3.10, 2 Al 3.18
Ca: 0.3312 0.8312 0.0000  6 Ag 3.08-3.10, 2 Al 3.18
Ca: 0.6688 0.1688 0.0000  6 Ag 3.08-3.10, 2 Al 3.18
Ca: 0.8312 0.6688 0.0000  6 Ag 3.08-3.10, 2 Al 3.18
Al: 0.0000 0.0000 0.0000  4 Ca 3.18
Al: 0.5000 0.5000 0.0000  4 Ca 3.18
Ag: 0.1236 0.6236 0.5000  1 Ag 2.99, 6 Ca 3.08-3.10
Ag: 0.3764 0.1236 0.5000  1 Ag 2.99, 6 Ca 3.08-3.10
Ag: 0.6236 0.8764 0.5000  1 Ag 2.99, 6 Ca 3.08-3.10
Ag: 0.8764 0.3764 0.5000  1 Ag 2.99, 6 Ca 3.08-3.10

Output
* E: -2.69 eV/atom
* energy relative to the elements: 0.00 eV/atom


Compound: LiTbHo2Rh4
Source: Alexandria via LeMat-Bulk
Functional: PBE-GGA
Structure: optimized geometry

Cell: 8.1683 8.1683 8.1683 Å, 33.44 33.44 33.44°
With the nearest neighbours (Å) after each atom.
Positions (direct):
Li: 0.0000 0.0000 0.0000  8 Rh 2.85-2.89
Tb: 0.5000 0.5000 0.5000  8 Rh 2.85-2.89
Ho: 0.2582 0.2582 0.2582  7 Rh 2.74-2.93
Ho: 0.7418 0.7418 0.7418  7 Rh 2.74-2.93
Rh: 0.1234 0.1234 0.1234  1 Li 2.85, 3 Tb 2.89, 4 Ho 2.93-3.11
Rh: 0.3767 0.3767 0.3767  4 Ho 2.74-2.81, 1 Tb 2.85, 3 Li 2.89
Rh: 0.6233 0.6233 0.6233  4 Ho 2.74-2.81, 1 Tb 2.85, 3 Li 2.89
Rh: 0.8766 0.8766 0.8766  1 Li 2.85, 3 Tb 2.89, 4 Ho 2.93-3.11

Output
* E: -6.36 eV/atom
* energy relative to the elements: -0.72 eV/atom


Compound: TaBe2Os
Source: Alexandria via LeMat-Bulk
Functional: PBE-GGA
Structure: optimized geometry

Cell: 3.1243 4.0553 7.8671 Å, 90.00 90.00 90.00°
With the nearest neighbours (Å) after each atom.
Positions (direct):
Ta: 0.0000 0.0000 0.0000  8 Be 2.57-2.75, 4 Os 2.63-2.72
Ta: 0.5000 0.5000 0.5000  8 Be 2.57-2.75, 4 Os 2.63-2.72
Be: 0.0000 0.0000 0.4662  2 Be 2.23
Be: 0.0000 0.5000 0.7641  2 Be 2.23
Be: 0.5000 0.0000 0.2641  2 Be 2.23
Be: 0.5000 0.5000 0.9662  2 Be 2.23
Os: 0.0000 0.5000 0.2314  8 Be 2.57-2.74, 4 Ta 2.63-2.72
Os: 0.5000 0.0000 0.7314  8 Be 2.57-2.74, 4 Ta 2.63-2.72

Output
* E: -7.75 eV/atom
* energy relative to the elements: -0.12 eV/atom